No. 1
# Tb4CdAu3 | the Alexandria database | GGA-PBE | relaxed
# ΔE_f	-0.71	eV/atom
# final energy	-0.32116	Ry/atom
# spin magnetization	0.00	μB/cell
# volume	194	Å³/f.u.
data_Tb4CdAu3
_chemical_formula_sum 'Tb4 Cd1 Au3'
_space_group_name_H-M_alt 'P 1'
_space_group_IT_number 1
_cell_length_a 3.637
_cell_length_b 5.159
_cell_length_c 10.341
_cell_angle_alpha 90.00
_cell_angle_beta 90.00
_cell_angle_gamma 90.00
loop_
_space_group_symop_operation_xyz
'x,y,z'
loop_
_atom_site_label
_atom_site_fract_x
_atom_site_fract_y
_atom_site_fract_z
Tb1 0.000 0.000 0.000
Tb2 0.000 0.000 0.500
Tb3 0.000 0.500 0.240
Tb4 0.000 0.500 0.760
Cd1 0.500 0.500 0.500
Au1 0.500 0.000 0.260
Au2 0.500 0.000 0.740
Au3 0.500 0.500 0.000


No. 2
# TbCd2Au6 | the Alexandria database | GGA-PBE | relaxed
# ΔE_f	-0.34	eV/atom
# polymorph energy (0 for the lowest one)	0.0	meV per atom
# final energy	-0.23866	Ry/atom
# spin magnetization	0.00	μB/cell
# volume	181	Å³/f.u.
data_TbCd2Au6
_chemical_formula_sum 'Tb2 Cd4 Au12'
_space_group_name_H-M_alt 'P 1'
_space_group_IT_number 1
_cell_length_a 8.607
_cell_length_b 8.607
_cell_length_c 5.152
_cell_angle_alpha 98.72
_cell_angle_beta 98.72
_cell_angle_gamma 75.17
loop_
_space_group_symop_operation_xyz
'x,y,z'
loop_
_atom_site_label
_atom_site_fract_x
_atom_site_fract_y
_atom_site_fract_z
Tb1 0.137 0.863 0.750
Tb2 0.863 0.137 0.250
Cd1 0.202 0.465 0.914
Cd2 0.465 0.202 0.414
Cd3 0.535 0.798 0.586
Cd4 0.798 0.535 0.086
Au1 0.000 0.226 0.805
Au2 0.000 0.774 0.195
Au3 0.101 0.356 0.363
Au4 0.226 0.000 0.305
Au5 0.327 0.563 0.465
Au6 0.356 0.101 0.863
Au7 0.437 0.673 0.035
Au8 0.563 0.327 0.965
Au9 0.644 0.899 0.137
Au10 0.673 0.437 0.535
Au11 0.774 0.000 0.695
Au12 0.899 0.644 0.637


No. 3
# Tb4Cd5Au6 | the Alexandria database | GGA-PBE | relaxed
# ΔE_f	-0.56	eV/atom
# final energy	-0.25069	Ry/atom
# spin magnetization	0.00	μB/cell
# volume	346	Å³/f.u.
data_Tb4Cd5Au6
_chemical_formula_sum 'Tb8 Cd10 Au12'
_space_group_name_H-M_alt 'P 1'
_space_group_IT_number 1
_cell_length_a 11.701
_cell_length_b 11.701
_cell_length_c 15.188
_cell_angle_alpha 90.00
_cell_angle_beta 90.00
_cell_angle_gamma 160.54
loop_
_space_group_symop_operation_xyz
'x,y,z'
loop_
_atom_site_label
_atom_site_fract_x
_atom_site_fract_y
_atom_site_fract_z
Tb1 0.021 0.979 0.500
Tb2 0.052 0.948 0.773
Tb3 0.134 0.866 0.275
Tb4 0.179 0.821 0.935
Tb5 0.821 0.179 0.435
Tb6 0.866 0.134 0.775
Tb7 0.948 0.052 0.273
Tb8 0.979 0.021 0.000
Cd1 0.178 0.822 0.611
Cd2 0.307 0.693 0.609
Cd3 0.326 0.674 0.265
Cd4 0.360 0.640 0.956
Cd5 0.465 0.535 0.660
Cd6 0.535 0.465 0.160
Cd7 0.640 0.360 0.456
Cd8 0.674 0.326 0.765
Cd9 0.693 0.307 0.109
Cd10 0.822 0.178 0.111
Au1 0.101 0.899 0.081
Au2 0.228 0.772 0.436
Au3 0.269 0.731 0.786
Au4 0.415 0.585 0.124
Au5 0.422 0.578 0.422
Au6 0.460 0.540 0.847
Au7 0.540 0.460 0.347
Au8 0.578 0.422 0.922
Au9 0.585 0.415 0.624
Au10 0.731 0.269 0.286
Au11 0.772 0.228 0.936
Au12 0.899 0.101 0.581


No. 4
# TbCd5Au2 | the Alexandria database | GGA-PBE | relaxed
# ΔE_f	-0.31	eV/atom
# final energy	-0.16776	Ry/atom
# spin magnetization	0.00	μB/cell
# volume	181	Å³/f.u.
data_TbCd5Au2
_chemical_formula_sum 'Tb1 Cd5 Au2'
_space_group_name_H-M_alt 'P 1'
_space_group_IT_number 1
_cell_length_a 7.155
_cell_length_b 7.155
_cell_length_c 7.155
_cell_angle_alpha 148.59
_cell_angle_beta 103.49
_cell_angle_gamma 85.02
loop_
_space_group_symop_operation_xyz
'x,y,z'
loop_
_atom_site_label
_atom_site_fract_x
_atom_site_fract_y
_atom_site_fract_z
Tb1 0.000 0.000 0.000
Cd1 0.159 0.357 0.802
Cd2 0.445 0.643 0.802
Cd3 0.500 0.000 0.500
Cd4 0.555 0.357 0.198
Cd5 0.841 0.643 0.198
Au1 0.219 0.719 0.500
Au2 0.781 0.281 0.500


Number 1: D(E_F) 5.911 states/eV/f.u.. Number 2: D(E_F) 3.565 states/eV/f.u.. Number 3: D(E_F) 8.573 states/eV/f.u.. Number 4: D(E_F) 3.331 states/eV/f.u..